1.
## YHg4Os (GGA-PBE)

Data for a geometry-optimized YHg4Os structure.

a b c (Å): 5.671 5.671 5.671
angles (deg): 60.00 60.00 60.00
Each line ends with the local moment (μB).
Atoms (fractional coordinates):
Hg  0.873  0.376  0.376  0.00
Hg  0.376  0.376  0.376  0.00
Hg  0.376  0.873  0.376  0.00
Hg  0.376  0.376  0.873  0.00
Os  0.750  0.750  0.750  0.34
Y  0.000  0.000  0.000  -0.03

Space-group type: F-43m
Energy, eV per atom: -2.7339
Volume, Å³ per atom: 21.5


2.
## Pm3PtSeCl (GGA-PBE)

Data for a geometry-optimized Pm3PtSeCl structure.

a b c (Å): 4.158 8.390 9.451
angles (deg): 102.43 90.00 90.00
Atoms (fractional coordinates):
Pm  0.750  0.894  0.109
Pm  0.750  0.431  0.164
Pm  0.750  0.277  0.513
Pm  0.250  0.106  0.891
Pm  0.250  0.569  0.836
Pm  0.250  0.723  0.487
Pt  0.750  0.335  0.848
Pt  0.250  0.665  0.152
Cl  0.250  0.093  0.600
Cl  0.750  0.907  0.400
Se  0.250  0.184  0.238
Se  0.750  0.816  0.762

Space-group type: P2_1/m
Energy, eV per atom: -5.5759
Volume, Å³ per atom: 26.8
Raw formation energy, eV/f.u.: -7.8


3.
## Pr6Mg23C (GGA-PBE)

Data for a geometry-optimized Pr6Mg23C structure.

a b c (Å): 10.219 10.219 10.219
angles (deg): 60.00 60.00 60.00
Atoms (fractional coordinates):
Mg  0.500  0.500  0.500
Mg  0.171  0.171  0.487
Mg  0.500  0.000  0.500
Mg  0.171  0.171  0.171
Mg  0.513  0.829  0.829
Mg  0.138  0.621  0.621
Mg  0.829  0.829  0.513
Mg  0.621  0.621  0.621
Mg  0.829  0.513  0.829
Mg  0.379  0.379  0.379
Mg  0.829  0.829  0.829
Mg  0.171  0.487  0.171
Mg  0.379  0.862  0.379
Mg  0.862  0.379  0.379
Mg  0.000  0.500  0.000
Mg  0.379  0.379  0.862
Mg  0.621  0.621  0.138
Mg  0.000  0.500  0.500
Mg  0.000  0.000  0.500
Mg  0.487  0.171  0.171
Mg  0.500  0.500  0.000
Mg  0.500  0.000  0.000
Mg  0.621  0.138  0.621
Pr  0.817  0.183  0.183
Pr  0.183  0.817  0.817
Pr  0.817  0.183  0.817
Pr  0.183  0.183  0.817
Pr  0.817  0.817  0.183
Pr  0.183  0.817  0.183
C  0.000  0.000  0.000

Space-group type: Fm-3m
Energy, eV per atom: -2.5902
Volume, Å³ per atom: 25.2


4.
## TcSb (GGA-PBE)

Data for a geometry-optimized TcSb structure.

a b c (Å): 4.732 4.732 4.732
angles (deg): 60.00 60.00 60.00
Each line ends with the local moment (μB).
Atoms (fractional coordinates):
Tc  0.750  0.750  0.750  0.59
Tc  0.500  0.500  0.500  0.59
Sb  0.000  0.000  0.000  0.00
Sb  0.250  0.250  0.250  0.00

Space-group type: Fd-3m
Energy, eV per atom: -6.5530
Volume, Å³ per atom: 18.7
Excess energy over the best structure of this formula in the dataset, eV per atom: 0.631
Raw formation energy, eV/f.u.: 1.4